Record 1
Computed, not measured: BaCuHg2F8 after structural relaxation at the PBE level of DFT.

- Magnetization: 1.00 Bohr magnetons per cell
- Total DFT energy (no corrections): -3.8339 eV/atom
- Space group: P-1 (2)
- V: 16.5 Å³ per atom

abc: 4.3127 5.6163 8.1857
angles: 90.05 86.99 92.93
Last column: nearest neighbours and their distance in Å.
Sites, in units of the cell vectors:
Ba (0.0000, 0.0000, 0.5000)  8 F 2.57-2.75
Cu (0.0000, 0.0000, 0.0000)  4 F 1.87-1.97
Hg (0.4397, 0.5077, 0.7683)  5 F 2.28-2.45
Hg (0.5603, 0.4923, 0.2317)  5 F 2.28-2.45
F (0.0754, 0.6472, 0.2704)  2 Hg 2.31-2.38
F (0.6620, 0.7495, 0.0104)  1 Cu 1.97
F (0.8590, 0.1346, 0.1976)  1 Cu 1.87
F (0.9246, 0.3528, 0.7296)  2 Hg 2.31-2.38
F (0.3380, 0.2505, 0.9896)  1 Cu 1.97
F (0.1410, 0.8654, 0.8024)  1 Cu 1.87
F (0.4968, 0.7356, 0.5380)  1 Hg 2.28
F (0.5032, 0.2644, 0.4620)  1 Hg 2.28

=====

Record 2
Computed, not measured: Pa5SiSe4 after structural relaxation at the PBE level of DFT.

- Magnetization: 1.63 Bohr magnetons per cell
- Total DFT energy (no corrections): -7.7560 eV/atom
- Distance to the lowest polymorph of the same formula: 7 meV per atom
- Space group: Immm (71)
- V: 23.9 Å³ per atom

abc: 3.9380 5.7523 11.0921
angles: 105.03 100.23 90.00
Last column: nearest neighbours and their distance in Å.
Sites, in units of the cell vectors:
Pa (0.5968, 0.0968, 0.1936)  2 Si 2.83, 4 Se 2.88-2.92
Pa (0.7995, 0.2995, 0.5990)  6 Se 2.88-2.89
Pa (0.2005, 0.7005, 0.4010)  6 Se 2.88-2.89
Pa (0.0000, 0.5000, 0.0000)  2 Si 2.88, 4 Se 2.88
Pa (0.4032, 0.9032, 0.8064)  2 Si 2.83, 4 Se 2.88-2.92
Si (0.0000, 0.0000, 0.0000)  6 Pa 2.83-2.88
Se (0.4000, 0.4000, 0.7999)  6 Pa 2.88-2.89
Se (0.8008, 0.8008, 0.6017)  6 Pa 2.88-2.92
Se (0.1992, 0.1992, 0.3983)  6 Pa 2.88-2.92
Se (0.6000, 0.6000, 0.2001)  6 Pa 2.88-2.89

=====

Record 3
Computed, not measured: Eu2YEr after structural relaxation at the PBE level of DFT.

- Magnetization: 14.51 Bohr magnetons per cell
- Total DFT energy (no corrections): -7.7239 eV/atom
- Distance to the lowest polymorph of the same formula: 64 meV per atom
- Space group: Fm-3m (225)
- V: 35.2 Å³ per atom

abc: 5.8375 5.8375 5.8375
angles: 60.00 60.00 60.00
Last column: nearest neighbours and their distance in Å.
Sites, in units of the cell vectors:
Eu (0.2500, 0.2500, 0.2500)  4 Er 3.57, 4 Y 3.57
Eu (0.7500, 0.7500, 0.7500)  4 Y 3.57, 4 Er 3.57
Y (0.5000, 0.5000, 0.5000)  8 Eu 3.57
Er (0.0000, 0.0000, 0.0000)  8 Eu 3.57

=====

Record 4
Computed, not measured: Dy2Y12Ho5 after structural relaxation at the PBE level of DFT.

- Magnetization: 0.00 Bohr magnetons per cell
- Total DFT energy (no corrections): -5.6453 eV/atom
- Distance to the lowest polymorph of the same formula: 102 meV per atom
- Space group: C2/m (12)
- V: 32.6 Å³ per atom

abc: 9.2980 9.0583 8.5791
angles: 91.34 90.00 120.88
Last column: nearest neighbours and their distance in Å.
Sites, in units of the cell vectors:
Dy (0.6738, 0.0000, 0.0000)  1 Dy 3.23, 8 Y 3.36-3.56, 2 Ho 3.53
Dy (0.3262, 0.0000, 0.0000)  1 Dy 3.23, 8 Y 3.36-3.56, 2 Ho 3.53
Y (0.9187, 0.8373, 0.1239)  5 Y 3.35-3.67, 3 Ho 3.43-3.53, 2 Dy 3.46
Y (0.0285, 0.6969, 0.7618)  4 Y 3.35-3.67, 1 Dy 3.36, 4 Ho 3.51-3.70
Y (0.6684, 0.6969, 0.7618)  4 Y 3.35-3.67, 1 Dy 3.36, 4 Ho 3.51-3.70
Y (0.1794, 0.7433, 0.3364)  4 Ho 3.37-3.74, 5 Y 3.41-3.57, 1 Dy 3.56
Y (0.5638, 0.7433, 0.3364)  4 Ho 3.37-3.74, 5 Y 3.41-3.57, 1 Dy 3.56
Y (0.4420, 0.8839, 0.6671)  2 Ho 3.37-3.56, 2 Dy 3.38, 7 Y 3.41-3.50
Y (0.5580, 0.1161, 0.3329)  2 Ho 3.37-3.56, 2 Dy 3.38, 7 Y 3.41-3.50
Y (0.8206, 0.2567, 0.6636)  4 Ho 3.37-3.74, 5 Y 3.41-3.57, 1 Dy 3.56
Y (0.4362, 0.2567, 0.6636)  4 Ho 3.37-3.74, 5 Y 3.41-3.57, 1 Dy 3.56
Y (0.9715, 0.3031, 0.2382)  4 Y 3.35-3.67, 1 Dy 3.36, 4 Ho 3.51-3.70
Y (0.3316, 0.3031, 0.2382)  4 Y 3.35-3.67, 1 Dy 3.36, 4 Ho 3.51-3.70
Y (0.0813, 0.1627, 0.8761)  5 Y 3.35-3.67, 3 Ho 3.43-3.53, 2 Dy 3.46
Ho (0.2305, 0.4610, 0.5726)  8 Y 3.37-3.53, 2 Ho 3.62-3.65
Ho (0.2984, 0.5968, 0.9833)  8 Y 3.47-3.67, 2 Dy 3.53, 1 Ho 3.65
Ho (0.0000, 0.0000, 0.5000)  10 Y 3.43-3.74, 2 Ho 3.62
Ho (0.7016, 0.4032, 0.0167)  8 Y 3.47-3.67, 2 Dy 3.53, 1 Ho 3.65
Ho (0.7695, 0.5390, 0.4274)  8 Y 3.37-3.53, 2 Ho 3.62-3.65

=====

Record 5
Computed, not measured: Li2GeHAu after structural relaxation at the PBE level of DFT.

- Magnetization: 0.00 Bohr magnetons per cell
- Total DFT energy (no corrections): -3.2642 eV/atom
- Distance to the lowest polymorph of the same formula: 13 meV per atom
- Space group: P4/mmm (123)
- V: 12.9 Å³ per atom

abc: 4.0083 4.0083 4.0078
angles: 90.00 90.00 90.00
Last column: nearest neighbours and their distance in Å.
Sites, in units of the cell vectors:
H (0.0000, 0.0000, 0.0000)  2 Ge 2.00, 4 Li 2.00
Ge (0.0000, 0.0000, 0.5000)  2 H 2.00
Au (0.5000, 0.5000, 0.5000)  8 Li 2.83, 4 Ge 2.83
Li (0.0000, 0.5000, 0.0000)  2 H 2.00
Li (0.5000, 0.0000, 0.0000)  2 H 2.00

=====

Record 6
Computed, not measured: Cr2TePb after structural relaxation at the PBE level of DFT.

- Magnetization: 0.05 Bohr magnetons per cell
- Total DFT energy (no corrections): -6.2094 eV/atom
- Distance to the lowest polymorph of the same formula: 57 meV per atom
- Space group: Pm (6)
- V: 23.9 Å³ per atom

abc: 3.9587 3.1644 7.6202
angles: 90.09 90.00 90.00
Last column: nearest neighbours and their distance in Å.
Sites, in units of the cell vectors:
Cr (0.0000, 0.8748, 0.0928)  4 Cr 2.56, 2 Te 2.74
Cr (0.5000, 0.3750, 0.1367)  4 Cr 2.56, 2 Te 2.74
Pb (0.0000, 0.3764, 0.4270)  4 Cr 2.97-3.00, 2 Pb 3.16
Te (0.5000, 0.8738, 0.8435)  4 Cr 2.74

=====

Record 7
Computed, not measured: NdBiTe after structural relaxation at the PBE level of DFT.

- Magnetization: 0.00 Bohr magnetons per cell
- Total DFT energy (no corrections): -5.0025 eV/atom
- Space group: I4/mmm (139)
- V: 32.0 Å³ per atom

abc: 4.4682 4.4682 10.1317
angles: 102.74 102.74 90.00
Last column: nearest neighbours and their distance in Å.
Sites, in units of the cell vectors:
Nd (0.3573, 0.3573, 0.7146)  5 Te 3.27, 4 Bi 3.54
Nd (0.6427, 0.6427, 0.2854)  5 Te 3.27, 4 Bi 3.54
Bi (0.0000, 0.5000, 0.0000)  4 Bi 3.16
Bi (0.5000, 0.0000, 0.0000)  4 Bi 3.16
Te (0.1872, 0.1872, 0.3745)  5 Nd 3.27
Te (0.8128, 0.8128, 0.6255)  5 Nd 3.27

=====

Record 8
Computed, not measured: RbCa2F2 after structural relaxation at the PBE level of DFT.

- Magnetization: 0.00 Bohr magnetons per cell
- Total DFT energy (no corrections): -3.9544 eV/atom
- Space group: I4/mmm (139)
- V: 32.0 Å³ per atom

abc: 3.9974 3.9974 10.4037
angles: 78.92 78.92 90.00
Last column: nearest neighbours and their distance in Å.
Sites, in units of the cell vectors:
Ca (0.3139, 0.3139, 0.3722)  4 F 2.37
Ca (0.6861, 0.6861, 0.6278)  4 F 2.37
Rb (0.0000, 0.0000, 0.0000)  4 Rb 4.00
F (0.7500, 0.2500, 0.5000)  4 Ca 2.37
F (0.2500, 0.7500, 0.5000)  4 Ca 2.37

=====

What is the V in the second record? 23.9 Å³ per atom